Entry 1:
The following is a PBE-GGA calculation of crystalline Ta3Nb2Mo8 at its relaxed geometry, from Alexandria via LeMat-Bulk.

For the total energy, the calculation gives -10.626 eV/atom. Its formation energy is 0.32 eV/atom. Its crystal system is trigonal.

The space group is R-3m (No. 166, hexagonal axes) and the conventional cell measures 5.2460, 5.2460 and 29.1767 Å, with angles of 90.00, 90.00 and 120.00 degrees. The distinct sites, in fractional coordinates, are Ta at (0.0000, 0.0000, 0.0000), Ta at (0.0000, 0.0000, 0.1831), Nb at (0.0000, 0.0000, 0.3592), Mo at (0.0000, 0.0000, 0.2746) and Mo at (0.0000, 0.5000, 0.2291).


Entry 2:
The following is a PBE-GGA calculation of crystalline Ta12NbMo6 at its relaxed geometry, from Alexandria via LeMat-Bulk.

For the total energy, the calculation gives -10.806 eV/atom. Its formation energy is 0.63 eV/atom. Its crystal system is trigonal.

The space group is R-3m (No. 166, hexagonal axes) and the conventional cell measures 11.9759, 11.9759 and 8.9697 Å, with angles of 90.00, 90.00 and 120.00 degrees. The distinct sites, in fractional coordinates, are Ta at (0.0000, 0.3821, 0.0000), Ta at (0.0838, 0.1677, 0.7911), Nb at (0.0000, 0.0000, 0.5000) and Mo at (0.0690, 0.5345, 0.7423).


Entry 3:
The following is a PBE-GGA calculation of crystalline Ta4Nb4Mo3 at its relaxed geometry, from Alexandria via LeMat-Bulk.

For the total energy, the calculation gives -10.997 eV/atom. Its formation energy is -0.07 eV/atom. Its crystal system is triclinic.

The space group is P-1 (No. 2) and the conventional cell measures 2.882, 4.601 and 14.713 Å, with angles of 81.24, 86.82 and 89.82 degrees. The distinct sites, in fractional coordinates, are Ta at (0.187, 0.273, 0.453), Ta at (0.259, 0.910, 0.181), Nb at (0.346, 0.545, 0.910), Nb at (0.434, 0.181, 0.639), Mo at (0.000, 0.000, 0.000) and Mo at (0.092, 0.635, 0.729).


Entry 4:
The following is a PBE-GGA calculation of crystalline Ta3NbMo at its relaxed geometry, from Alexandria via LeMat-Bulk.

For the total energy, the calculation gives -11.002 eV/atom. Its formation energy is 0.29 eV/atom. Its crystal system is monoclinic.

The space group is P2_1/m (No. 11) and the conventional cell measures 3.074, 8.500 and 7.139 Å, with angles of 90.00, 92.58 and 90.00 degrees. The distinct sites, in fractional coordinates, are Ta at (0.011, 0.250, 0.033), Ta at (0.122, 0.561, 0.328), Nb at (0.491, 0.250, 0.376) and Mo at (0.500, 0.000, 0.000).


Entry 5:
The following is a PBE-GGA calculation of crystalline TaNb2Mo at its relaxed geometry, from Alexandria via LeMat-Bulk.

For the total energy, the calculation gives -10.789 eV/atom. Its formation energy is -0.08 eV/atom. Its crystal system is tetragonal.

The space group is P4/mmm (No. 123) and the conventional cell measures 3.256, 3.256 and 6.615 Å, with angles of 90.00, 90.00 and 90.00 degrees. The distinct sites, in fractional coordinates, are Ta at (0.000, 0.000, 0.000), Nb at (0.500, 0.500, 0.259) and Mo at (0.000, 0.000, 0.500).


Entry 6:
The following is a PBE-GGA calculation of crystalline TaNbMo at its relaxed geometry, from Alexandria via LeMat-Bulk.

For the total energy, the calculation gives -10.719 eV/atom. Its formation energy is 0.20 eV/atom. Its crystal system is hexagonal.

The space group is P6_3/mmc (No. 194) and the conventional cell measures 4.8389, 4.8389 and 5.2602 Å, with angles of 90.00, 90.00 and 120.00 degrees. The distinct sites, in fractional coordinates, are Ta at (0.3333, 0.6667, 0.2500), Nb at (0.0000, 0.0000, 0.0000) and Mo at (0.3333, 0.6667, 0.7500).


Entry 7:
The following is a PBE-GGA calculation of crystalline Ta2NbMo at its relaxed geometry, from Alexandria via LeMat-Bulk.

For the total energy, the calculation gives -10.846 eV/atom. Its formation energy is 0.31 eV/atom. Its crystal system is orthorhombic.

The space group is Amm2 (No. 38) and the conventional cell measures 3.200, 3.133 and 14.790 Å, with angles of 90.00, 90.00 and 90.00 degrees. The distinct sites, in fractional coordinates, are Ta at (0.000, 0.000, 0.000), Ta at (0.000, 0.000, 0.216), Nb at (0.500, 0.000, 0.371) and Mo at (0.500, 0.000, 0.608).


Entry 8:
The following is a PBE-GGA calculation of crystalline TaNbMo2 at its relaxed geometry, from Alexandria via LeMat-Bulk.

For the total energy, the calculation gives -11.063 eV/atom. Its formation energy is -0.17 eV/atom. Its crystal system is cubic.

The space group is Fm-3m (No. 225) and the conventional cell measures 6.461, 6.461 and 6.461 Å, with angles of 90.00, 90.00 and 90.00 degrees. The distinct sites, in fractional coordinates, are Ta at (0.000, 0.000, 0.000), Nb at (0.000, 0.000, 0.500) and Mo at (0.250, 0.250, 0.250).